Entry from the Open Quantum Materials Database: a relaxed structure of Er2Fe2B4Ir3 (GGA-PBE).

a b c (Å): 7.3051 6.1382 5.4673
angles (deg): 77.78 55.21 47.01
Last column: nearest neighbours and their distance in Å.
Atoms (fractional coordinates):
Ir: 0.0000 0.0000 0.5000  4 B 2.23
Ir: 0.5000 0.5000 0.0000  4 B 2.23
Ir: 0.5000 0.5000 0.5000  4 B 2.19
B: 0.1984 0.5184 0.4816  2 Fe 1.99, 1 Ir 2.19
B: 0.8016 0.4816 0.5184  2 Fe 1.99, 1 Ir 2.19
B: 0.4816 0.8016 0.1984  2 Fe 1.99, 1 Ir 2.19
B: 0.5184 0.1984 0.8016  2 Fe 1.99, 1 Ir 2.19
Er: 0.8538 0.8538 0.1462  6 B 2.80-3.07, 4 Fe 2.96, 2 Ir 3.12
Er: 0.1462 0.1462 0.8538  6 B 2.80-3.07, 4 Fe 2.96, 2 Ir 3.12
Fe: 0.2500 0.2500 0.2500  4 B 1.99
Fe: 0.7500 0.7500 0.7500  4 B 1.99

***

Entry from the Open Quantum Materials Database: a relaxed structure of PrI2 (GGA-PBE).

a b c (Å): 6.8822 6.8822 6.8822
angles (deg): 60.00 60.00 60.00
Last column: nearest neighbours and their distance in Å.
Atoms (fractional coordinates):
Pr: 0.0000 0.0000 0.0000  12 I 4.04, 4 Pr 4.21
Pr: 0.2500 0.2500 0.2500  12 I 4.04, 4 Pr 4.21
I: 0.6250 0.6250 0.1250  6 I 3.44
I: 0.6250 0.6250 0.6250  6 I 3.44
I: 0.6250 0.1250 0.6250  6 I 3.44
I: 0.1250 0.6250 0.6250  6 I 3.44

***

Entry from the Open Quantum Materials Database: a relaxed structure of DyErH4 (GGA-PBE).

a b c (Å): 3.6271 3.6271 5.1184
angles (deg): 90.00 90.00 90.00
Last column: nearest neighbours and their distance in Å.
Atoms (fractional coordinates):
H: 0.0000 0.5000 0.2539  2 Er 2.21, 2 Dy 2.23
H: 0.0000 0.5000 0.7461  2 Er 2.21, 2 Dy 2.23
H: 0.5000 0.0000 0.7461  2 Er 2.21, 2 Dy 2.23
H: 0.5000 0.0000 0.2539  2 Er 2.21, 2 Dy 2.23
Dy: 0.0000 0.0000 0.0000  8 H 2.23
Er: 0.5000 0.5000 0.5000  8 H 2.21

***

Entry from the Open Quantum Materials Database: a relaxed structure of ZnPtSeO (GGA-PBE).

Energy above the most stable polymorph in this dataset (kJ per mole of atoms): 32.9

a b c (Å): 4.9766 4.9766 6.2510
angles (deg): 90.00 90.00 90.00
Last column: nearest neighbours and their distance in Å.
Atoms (fractional coordinates):
O: 0.7500 0.7500 0.0755  1 Zn 1.78, 1 Pt 1.99
O: 0.2500 0.2500 0.9245  1 Zn 1.78, 1 Pt 1.99
Pt: 0.7500 0.7500 0.3934  1 O 1.99
Pt: 0.2500 0.2500 0.6066  1 O 1.99
Zn: 0.2500 0.2500 0.2093  1 O 1.78
Zn: 0.7500 0.7500 0.7907  1 O 1.78
Se: 0.7500 0.2500 0.5000  4 Pt 2.58
Se: 0.2500 0.7500 0.5000  4 Pt 2.58

***

Entry from the Open Quantum Materials Database: a relaxed structure of La2SmIrO6 (GGA-PBE).

a b c (Å): 5.7397 6.0192 9.7974
angles (deg): 90.00 123.49 90.00
Last column: nearest neighbours and their distance in Å.
Atoms (fractional coordinates):
O: 0.3596 0.0494 0.7332  1 Ir 2.09, 1 Sm 2.29
O: 0.6404 0.9506 0.2668  1 Ir 2.09, 1 Sm 2.29
O: 0.2363 0.8086 0.4416  1 Ir 2.09, 1 Sm 2.26
O: 0.6404 0.5494 0.7668  1 Ir 2.09, 1 Sm 2.29
O: 0.7637 0.3086 0.0584  1 Ir 2.09, 1 Sm 2.26
O: 0.3596 0.4506 0.2332  1 Ir 2.09, 1 Sm 2.29
O: 0.7637 0.1914 0.5584  1 Ir 2.09, 1 Sm 2.26
O: 0.8819 0.7061 0.5603  1 Ir 2.09, 1 Sm 2.29
O: 0.1181 0.2939 0.4397  1 Ir 2.09, 1 Sm 2.29
O: 0.2363 0.6914 0.9416  1 Ir 2.09, 1 Sm 2.26
O: 0.8819 0.7939 0.0603  1 Ir 2.09, 1 Sm 2.29
O: 0.1181 0.2061 0.9397  1 Ir 2.09, 1 Sm 2.29
La: 0.7743 0.9378 0.7515  5 O 2.38-2.67
La: 0.7743 0.5622 0.2515  5 O 2.38-2.67
La: 0.2257 0.4378 0.7485  5 O 2.38-2.67
La: 0.2257 0.0622 0.2485  5 O 2.38-2.67
Sm: 0.5000 0.0000 0.0000  6 O 2.26-2.29
Sm: 0.5000 0.5000 0.5000  6 O 2.26-2.29
Ir: 0.0000 0.0000 0.5000  6 O 2.09
Ir: 0.0000 0.5000 0.0000  6 O 2.09

***

Entry from the Open Quantum Materials Database: a relaxed structure of CdB4Mo (GGA-PBE).

Energy above the most stable polymorph in this dataset (kJ per mole of atoms): 0.0

a b c (Å): 3.0248 3.0248 7.7913
angles (deg): 90.00 90.00 120.00
Last column: nearest neighbours and their distance in Å.
Atoms (fractional coordinates):
Mo: 0.0000 0.0000 0.0000  12 B 2.41
B: 0.3333 0.6667 0.2127  3 B 1.75
B: 0.6667 0.3333 0.2127  3 B 1.75
B: 0.6667 0.3333 0.7873  3 B 1.75
B: 0.3333 0.6667 0.7873  3 B 1.75
Cd: 0.0000 0.0000 0.5000  12 B 2.84, 6 Cd 3.02

***

Entry from the Open Quantum Materials Database: a relaxed structure of KAuF3 (GGA-PBE).

a b c (Å): 5.6535 5.6535 6.7293
angles (deg): 114.90 114.90 60.23
Last column: nearest neighbours and their distance in Å.
Atoms (fractional coordinates):
K: 0.7343 0.7343 0.2366  5 F 2.55-2.73
K: 0.2657 0.2657 0.7634  5 F 2.55-2.73
Au: 0.5000 0.5000 0.5000  2 F 2.03
Au: 0.0000 0.0000 0.0000  4 F 2.02
F: 0.1882 0.6878 0.1543  1 Au 2.02
F: 0.7345 0.7345 0.6150  1 Au 2.03
F: 0.8118 0.3122 0.8457  1 Au 2.02
F: 0.2655 0.2655 0.3850  1 Au 2.03
F: 0.6878 0.1882 0.1543  1 Au 2.02
F: 0.3122 0.8118 0.8457  1 Au 2.02

***

Entry from the Open Quantum Materials Database: a relaxed structure of K2Pt2O5 (GGA-PBE).

Energy above the most stable polymorph in this dataset (kJ per mole of atoms): 0.0

a b c (Å): 8.7815 3.8922 3.8922
angles (deg): 90.00 90.00 90.00
Last column: nearest neighbours and their distance in Å.
Atoms (fractional coordinates):
K: 0.0000 0.0000 0.0000  8 O 2.73
K: 0.5000 0.0000 0.0000  4 O 2.75
Pt: 0.7396 0.5000 0.5000  5 O 1.98-2.10
Pt: 0.2604 0.5000 0.5000  5 O 1.98-2.10
O: 0.2186 0.0000 0.5000  2 Pt 1.98
O: 0.5000 0.5000 0.5000  2 Pt 2.10
O: 0.7814 0.5000 0.0000  2 Pt 1.98
O: 0.7814 0.0000 0.5000  2 Pt 1.98
O: 0.2186 0.5000 0.0000  2 Pt 1.98

***

Entry from the Open Quantum Materials Database: a relaxed structure of GdY2Zn4Ga2 (GGA-PBE).

a b c (Å): 4.2834 6.9825 6.9825
angles (deg): 120.14 90.00 90.00
Last column: nearest neighbours and their distance in Å.
Atoms (fractional coordinates):
Y: 0.0000 0.4199 0.9997  3 Zn 2.93-3.19, 4 Ga 2.99
Y: 0.0000 0.9997 0.4199  3 Zn 2.93-3.19, 4 Ga 2.99
Ga: 0.5000 0.3328 0.6671  3 Zn 2.70-2.71, 4 Y 2.99, 2 Gd 3.00
Ga: 0.5000 0.6671 0.3328  3 Zn 2.70-2.71, 4 Y 2.99, 2 Gd 3.00
Zn: 0.0000 0.0009 0.0009  6 Zn 2.72, 2 Y 2.93, 1 Gd 2.94
Zn: 0.5000 0.7593 0.0000  2 Ga 2.70-2.71, 4 Zn 2.72-2.91
Zn: 0.5000 0.0000 0.7593  2 Ga 2.70-2.71, 4 Zn 2.72-2.91
Zn: 0.5000 0.2406 0.2406  2 Ga 2.71, 4 Zn 2.72-2.91
Gd: 0.0000 0.5796 0.5796  3 Zn 2.94-3.19, 4 Ga 3.00

***

For the records above, the corresponding calculated total energy values read -85.81; -7.61; -26.84; -16.42; -79.65; -38.05; -18.32; -44.99; -33.40 eV per formula unit.